Entry 1:
Ba2BeSi: relaxed, PBE.

Cell lengths 3.5892, 3.5892, 9.6170 Å; angles 90.00, 90.00, 90.00 degrees
Closest atoms and distances in Å follow each position.
Space group P4mm (No. 99)
One atom of each set of equivalent atoms:
Ba1 0.0000 0.0000 0.0000 [1 per cell]  1 Be 3.14, 4 Si 3.47
Ba2 0.5000 0.5000 0.4211 [1 per cell]  1 Si 3.19, 4 Be 3.51
Be1 0.0000 0.0000 0.6734 [1 per cell]  4 Si 2.65
Si1 0.5000 0.5000 0.7532 [1 per cell]  4 Be 2.65

Values from the calculation:
The energy above the most stable polymorph in this dataset is 0.528 eV per atom. The calculation puts the calculated volume at 30.97 Å³ per atom. The uncorrected formation energy is 36.1 kJ/mol of atoms. Its total energy is -2.874 eV per atom.

Entry 2:
Hg3PdI9: relaxed, PBE.

Cell lengths 14.1576, 16.1089, 12.0577 Å; angles 90.00, 90.00, 90.00 degrees
Closest atoms and distances in Å follow each position.
Space group C222_1 (No. 20)
One atom of each set of equivalent atoms:
Hg1 0.0000 0.2087 0.2500 [4 per cell]  4 I 2.80-2.99
Hg2 0.2278 0.1089 0.3540 [8 per cell]  4 I 2.80-2.98
Pd1 0.0000 0.2937 0.7500 [4 per cell]  4 I 2.60-2.64
I1 0.0733 0.1642 0.8461 [8 per cell]  1 Pd 2.60
I2 0.0767 0.4061 0.8817 [8 per cell]  1 Pd 2.64, 1 Hg 2.80
I3 0.1260 0.0000 0.5000 [4 per cell]  2 Hg 2.87
I4 0.1344 0.2716 0.3981 [8 per cell]  2 Hg 2.80-2.98
I5 0.1391 0.0951 0.1409 [8 per cell]  2 Hg 2.87-2.99

Values from the calculation:
The calculation puts the calculated volume at 52.88 Å³ per atom. The uncorrected formation energy is -17.6 kJ/mol of atoms. Its total energy is -1.724 eV per atom.

Entry 3:
LiY2CrC: relaxed, PBE.

Cell lengths 5.0508, 5.0508, 3.8830 Å; angles 90.00, 90.00, 90.00 degrees
Closest atoms and distances in Å follow each position.
Space group P4/mmm (No. 123)
One atom of each set of equivalent atoms:
Li1 0.0000 0.0000 0.0000 [1 per cell]  8 Y 3.19
Y1 0.0000 0.5000 0.5000 [2 per cell]  2 C 2.53
Cr1 0.5000 0.5000 0.0000 [1 per cell]  2 C 1.94
C1 0.5000 0.5000 0.5000 [1 per cell]  2 Cr 1.94

Values from the calculation:
The calculation puts the calculated volume at 19.81 Å³ per atom. Its total energy is -6.814 eV per atom. The energy of formation is -0.0763 eV/atom.

Entry 4:
Ba2AcBiO2: relaxed, PBE.

Cell lengths 4.8322, 4.8322, 7.4793 Å; angles 90.00, 90.00, 90.00 degrees
Closest atoms and distances in Å follow each position.
Space group P4/mmm (No. 123)
One atom of each set of equivalent atoms:
Ba1 0.0000 0.0000 0.2468 [2 per cell]  4 O 3.07
Ac1 0.5000 0.5000 0.5000 [1 per cell]  4 O 2.42
Bi1 0.5000 0.5000 0.0000 [1 per cell]  2 Ac 3.74, 8 Ba 3.88
O1 0.0000 0.5000 0.5000 [2 per cell]  2 Ac 2.42

Values from the calculation:
The calculation puts the calculated volume at 29.11 Å³ per atom. The uncorrected formation energy is -201.7 kJ/mol of atoms. Its total energy is -5.716 eV per atom.

Entry 5:
CuHgP: relaxed, PBE.

Cell lengths 3.9629, 3.9629, 4.0259 Å; angles 90.00, 90.00, 120.00 degrees
Closest atoms and distances in Å follow each position.
Space group P-6m2 (No. 187)
One atom of each set of equivalent atoms:
Cu1 0.0000 0.0000 0.0000 [1 per cell]  3 P 2.29
Hg1 0.6667 0.3333 0.5000 [1 per cell]  6 Cu 3.05, 6 P 3.05
P1 0.3333 0.6667 0.0000 [1 per cell]  3 Cu 2.29

Values from the calculation:
The calculation puts the calculated volume at 18.25 Å³ per atom. Its total energy is -3.030 eV per atom. The energy of formation is 0.2397 eV/atom.

Entry 6:
MnBeFeNi: relaxed, PBE.

Cell lengths 5.4764, 5.4764, 5.4764 Å; angles 90.00, 90.00, 90.00 degrees
Closest atoms and distances in Å follow each position.
Space group F-43m (No. 216)
One atom of each set of equivalent atoms:
Mn1 0.0000 0.0000 0.0000 [4 per cell]  4 Fe 2.37, 4 Ni 2.37
Be1 0.0000 0.0000 0.5000 [4 per cell]  4 Fe 2.37, 4 Ni 2.37
Fe1 0.2500 0.2500 0.2500 [4 per cell]  4 Mn 2.37, 4 Be 2.37
Ni1 0.2500 0.2500 0.7500 [4 per cell]  4 Mn 2.37, 4 Be 2.37

Values from the calculation:
The calculation puts the calculated volume at 10.27 Å³ per atom. Its total energy is -6.859 eV per atom. The energy of formation is -0.0738 eV/atom.

Entry 7:
Sm3InRh2: relaxed, PBE.

Cell lengths 3.5845, 3.5845, 11.0729 Å; angles 90.00, 90.00, 90.00 degrees
Closest atoms and distances in Å follow each position.
Space group P4/mmm (No. 123)
One atom of each set of equivalent atoms:
Sm1 0.0000 0.0000 0.0000 [1 per cell]  8 Rh 3.07, 2 Sm 3.37
Sm2 0.0000 0.0000 0.3046 [2 per cell]  4 Rh 3.02, 4 In 3.33, 1 Sm 3.37
In1 0.5000 0.5000 0.5000 [1 per cell]  8 Sm 3.33, 4 In 3.58
Rh1 0.5000 0.5000 0.1565 [2 per cell]  8 Sm 3.02-3.07

Values from the calculation:
The energy above the most stable polymorph in this dataset is 0.000 eV per atom. The calculation puts the calculated volume at 23.71 Å³ per atom. Its total energy is -5.903 eV per atom. The energy of formation is -0.6366 eV/atom.

Entry 8:
LaPbCl2: relaxed, PBE.

Cell lengths 7.4587, 7.4587, 7.4587 Å; angles 90.00, 90.00, 90.00 degrees
Closest atoms and distances in Å follow each position.
Space group Fm-3m (No. 225)
One atom of each set of equivalent atoms:
La1 0.0000 0.0000 0.0000 [4 per cell]  8 Cl 3.23
Pb1 0.0000 0.0000 0.5000 [4 per cell]  8 Cl 3.23
Cl1 0.2500 0.2500 0.2500 [8 per cell]  4 Pb 3.23, 4 La 3.23

Values from the calculation:
The energy above the most stable polymorph in this dataset is 0.355 eV per atom. The calculation puts the calculated volume at 25.93 Å³ per atom. The uncorrected formation energy is -96.7 kJ/mol of atoms. Its total energy is -4.084 eV per atom.

Entry 9:
EuLu2In: relaxed, PBE.

Cell lengths 4.8940, 4.8940, 4.7718 Å; angles 90.00, 90.00, 90.00 degrees
Closest atoms and distances in Å follow each position.
Space group P4/mmm (No. 123)
One atom of each set of equivalent atoms:
Eu1 0.0000 0.0000 0.0000 [1 per cell]  8 Lu 3.42, 4 In 3.46
Lu1 0.0000 0.5000 0.5000 [2 per cell]  4 In 3.42, 4 Eu 3.42, 4 Lu 3.46
In1 0.5000 0.5000 0.0000 [1 per cell]  8 Lu 3.42, 4 Eu 3.46

Values from the calculation:
The energy above the most stable polymorph in this dataset is 0.000 eV per atom. The calculation puts the calculated volume at 28.57 Å³ per atom. Its total energy is -5.701 eV per atom. The energy of formation is -0.1877 eV/atom.